DFT (PBE) results for a geometry-optimized KCa2Cl structure.

Cell and atoms, written as POSCAR:
```
KCa2Cl
1.0
8.8835 0.0000 0.0000
0.0000 8.8835 0.0000
0.0000 0.0000 8.8835
K Ca Cl
4 8 4
Cartesian
0.0000 0.0000 0.0000
0.0000 4.4418 4.4418
4.4418 0.0000 4.4418
4.4418 4.4418 0.0000
0.0000 0.0000 4.4418
0.0000 4.4418 0.0000
2.2209 2.2209 2.2209
2.2209 6.6627 6.6627
4.4418 0.0000 0.0000
4.4418 4.4418 4.4418
6.6627 2.2209 6.6627
6.6627 6.6627 2.2209
2.2209 2.2209 6.6627
2.2209 6.6627 2.2209
6.6627 2.2209 2.2209
6.6627 6.6627 6.6627
```

Calculated values
Its space group is F-43m. The density is 1.47 Mg/m³. The calculation puts the energy relative to the elements, uncorrected at -0.2315 eV/atom. As for the distance to the lowest polymorph of the same formula: 572 meV/atom.

---

DFT (PBE) results for a geometry-optimized KCa2Cl structure.

Cell and atoms, written as POSCAR:
```
KCa2Cl
1.0
4.1722 0.0000 0.0000
0.0000 6.6624 0.0000
0.0000 0.0000 11.0779
K Ca Cl
2 4 2
Cartesian
0.0000 0.0000 0.0000
2.0861 3.3312 0.0000
0.0000 0.0000 4.3816
0.0000 3.3312 7.4607
2.0861 0.0000 7.4607
2.0861 3.3312 4.3816
0.0000 3.3312 2.4061
2.0861 0.0000 2.4061
```

Calculated values
Its space group is Cmm2. The density is 1.67 Mg/m³. The calculation puts the energy relative to the elements, uncorrected at -0.7834 eV/atom. As for the distance to the lowest polymorph of the same formula: 20 meV/atom.

---

DFT (PBE) results for a geometry-optimized KCa2Cl structure.

Cell and atoms, written as POSCAR:
```
KCa2Cl
1.0
3.7739 0.0000 0.0000
0.0000 6.5419 0.0000
0.0000 0.0000 12.3946
K Ca Cl
2 4 2
Cartesian
0.0000 0.0000 0.0000
1.8869 3.2709 6.1973
0.0000 3.2709 2.3755
0.0000 3.2709 10.0191
1.8869 0.0000 3.8218
1.8869 0.0000 8.5728
0.0000 0.0000 6.1973
1.8869 3.2709 0.0000
```

Calculated values
Its space group is Immm. The density is 1.68 Mg/m³. The calculation puts the energy relative to the elements, uncorrected at -0.7086 eV/atom. As for the distance to the lowest polymorph of the same formula: 95 meV/atom.

---

Question: Among the records above, which one has the lowest distance to the lowest polymorph of the same formula?
Answer: number 2

---

Question: energy relative to the elements, uncorrected of number 1 (KCa2Cl)?
Answer: -0.2315 eV/atom

---

Question: Which value of distance to the lowest polymorph of the same formula does entry 3 give?
Answer: 95 meV/atom

---

Copy entry 1 word for word.
DFT (PBE) results for a geometry-optimized KCa2Cl structure.

Cell and atoms, written as POSCAR:
```
KCa2Cl
1.0
8.8835 0.0000 0.0000
0.0000 8.8835 0.0000
0.0000 0.0000 8.8835
K Ca Cl
4 8 4
Cartesian
0.0000 0.0000 0.0000
0.0000 4.4418 4.4418
4.4418 0.0000 4.4418
4.4418 4.4418 0.0000
0.0000 0.0000 4.4418
0.0000 4.4418 0.0000
2.2209 2.2209 2.2209
2.2209 6.6627 6.6627
4.4418 0.0000 0.0000
4.4418 4.4418 4.4418
6.6627 2.2209 6.6627
6.6627 6.6627 2.2209
2.2209 2.2209 6.6627
2.2209 6.6627 2.2209
6.6627 2.2209 2.2209
6.6627 6.6627 6.6627
```

Calculated values
Its space group is F-43m. The density is 1.47 Mg/m³. The calculation puts the energy relative to the elements, uncorrected at -0.2315 eV/atom. As for the distance to the lowest polymorph of the same formula: 572 meV/atom.